TaNi2Te2Se: relaxed, PBE.

Values from the calculation:
SG = No. 11
DFT total energy = -5.87 eV per atom
size of the total moment = 0.01 μB per cell

a b c (Å): 7.655 3.567 10.215
angles (deg): 90.00 107.20 90.00
Fractional positions:
1 Ta 0.216 0.250 0.195
2 Ta 0.784 0.750 0.805
3 Ni 0.047 0.250 0.931
4 Ni 0.398 0.750 0.408
5 Ni 0.602 0.250 0.592
6 Ni 0.953 0.750 0.069
7 Te 0.048 0.750 0.332
8 Te 0.417 0.750 0.668
9 Te 0.583 0.250 0.332
10 Te 0.952 0.250 0.668
11 Se 0.267 0.750 0.013
12 Se 0.733 0.250 0.987



TaNi2Te2Se: relaxed, PBE.

Values from the calculation:
SG = No. 11
DFT total energy = -5.91 eV per atom
size of the total moment = 0.00 μB per cell

a b c (Å): 7.701 3.680 10.360
angles (deg): 90.00 109.58 90.00
Fractional positions:
1 Ta 0.213 0.250 0.201
2 Ta 0.787 0.750 0.799
3 Ni 0.040 0.250 0.934
4 Ni 0.404 0.750 0.408
5 Ni 0.596 0.250 0.592
6 Ni 0.960 0.750 0.066
7 Te 0.281 0.750 0.003
8 Te 0.416 0.750 0.660
9 Te 0.584 0.250 0.340
10 Te 0.719 0.250 0.997
11 Se 0.075 0.750 0.316
12 Se 0.925 0.250 0.684



Number 1: energy above the most stable polymorph in this dataset 36.8 meV per atom. Number 2: energy above the most stable polymorph in this dataset 0.0 meV per atom.